# 1
Here is an optimized crystal structure of Sm2BiS from the Alexandria database. Energies are from GGA-PBE.

Formation energy (no corrections) ... -1412 meV per atom
Relative energy among the computed polymorphs ... 0 meV per atom
VASP energy ... -5.773 eV/atom

Lattice parameters (Å, degrees): 4.2782 4.2782 21.0176 90.00 90.00 120.00
Space group P-3m1 (No. 164)
Asymmetric unit:
Sm: 0.0000 0.0000 0.2164 [2 per cell]
Sm: 0.3333 0.6667 0.4056 [2 per cell]
Sm: 0.3333 0.6667 0.9292 [2 per cell]
Bi: 0.0000 0.0000 0.5000 [1 per cell]
Bi: 0.3333 0.6667 0.6886 [2 per cell]
S: 0.0000 0.0000 0.0000 [1 per cell]
S: 0.3333 0.6667 0.1450 [2 per cell]


# 2
Here is an optimized crystal structure of Sm5BiS4 from the Alexandria database. Energies are from GGA-PBE.

Formation energy (no corrections) ... -1747 meV per atom
VASP energy ... -6.146 eV/atom

Lattice parameters (Å, degrees): 13.678 4.103 10.149 90.00 119.44 90.00
Space group C2/m (No. 12)
Asymmetric unit:
Sm: 0.000 0.000 0.000 [2 per cell]
Sm: 0.110 0.500 0.382 [4 per cell]
Sm: 0.208 0.000 0.820 [4 per cell]
Bi: 0.000 0.000 0.500 [2 per cell]
S: 0.093 0.500 0.896 [4 per cell]
S: 0.205 0.000 0.292 [4 per cell]


What is the formation energy (no corrections) in the second record? -1747 meV per atom


Which of these has the highest VASP energy? Sm2BiS


VASP energy of number 2 (Sm5BiS4)? -6.146 eV/atom


What is the VASP energy in the second record? -6.146 eV/atom